DFT (GGA+U) results for SrCaCoO4 after structural relaxation.

```
14
Lattice="5.663 0.000 0.046 0.000 5.786 0.000 -2.175 0.000 6.483" Properties=species:S:1:pos:R:3 pbc="T T T"
Sr 2.103 4.339 6.098
Sr 1.386 1.446 0.431
Ca 3.583 4.339 3.029
Ca -0.095 1.446 3.499
Co 0.779 4.339 2.059
Co 2.710 1.446 4.470
O 3.852 2.822 4.812
O -0.363 5.715 1.717
O -0.363 2.964 1.717
O 3.852 0.071 4.812
O 2.252 4.339 1.040
O 1.237 1.446 5.489
O 1.282 4.339 3.751
O 2.206 1.446 2.778
```

Mass density in Mg/m³: 3.9
Electronic total energy in eV/atom: -6.098